Cd2TeS: relaxed, PBE.

a b c (Å): 4.429 4.429 7.705
angles (deg): 73.26 73.27 59.98
Fractional coordinates of all 4 atoms:
Te 0.237 0.682 0.188
S 0.740 0.185 0.679
Cd 0.622 0.067 0.031
Cd 0.106 0.551 0.581

Summary:
Uncorrected formation energy = -0.50 eV per atom
Mass density = 5.17 Mg/m³
Final energy = -2.776 eV/atom
SG = R3m (160)
Total magnetic moment = 0.00 μB per formula unit

CdTeS4: relaxed, PBE.

a b c (Å): 3.851 8.026 7.363
angles (deg): 139.26 90.00 90.00
Fractional coordinates of all 6 atoms:
Te 0.500 0.500 0.000
S 0.000 0.730 0.376
S 0.500 0.824 0.910
Cd 0.000 0.500 0.500
S 0.500 0.176 0.090
S 0.000 0.270 0.624

Summary:
Uncorrected formation energy = -0.01 eV per atom
Mass density = 4.12 Mg/m³
Final energy = -3.437 eV/atom
SG = P2/m (10)
Total magnetic moment = 0.00 μB per formula unit

CdTe2S: relaxed, PBE.

a b c (Å): 8.408 8.408 8.408
angles (deg): 30.91 30.91 30.91
Fractional coordinates of all 4 atoms:
Te 0.104 0.104 0.104
S 0.000 0.000 0.000
Cd 0.500 0.500 0.500
Te 0.896 0.896 0.896

Summary:
Uncorrected formation energy = 0.15 eV per atom
Mass density = 4.77 Mg/m³
Final energy = -2.679 eV/atom
SG = R-3m (166)
Total magnetic moment = 0.00 μB per formula unit

Please write out number 2 again, unchanged.
CdTeS4: relaxed, PBE.

a b c (Å): 3.851 8.026 7.363
angles (deg): 139.26 90.00 90.00
Fractional coordinates of all 6 atoms:
Te 0.500 0.500 0.000
S 0.000 0.730 0.376
S 0.500 0.824 0.910
Cd 0.000 0.500 0.500
S 0.500 0.176 0.090
S 0.000 0.270 0.624

Summary:
Uncorrected formation energy = -0.01 eV per atom
Mass density = 4.12 Mg/m³
Final energy = -3.437 eV/atom
SG = P2/m (10)
Total magnetic moment = 0.00 μB per formula unit